No. 1
The following is a PBE calculation of crystalline CdBS2O at its relaxed geometry, from Alexandria via LeMat-Bulk.

V	95	Å³ per cell
theoretical density	3.6	g cm⁻³

a = 6.1072 Å, b = 6.1072 Å, c = 2.5421 Å
α = 90.00°, β = 90.00°, γ = 90.00°
Last column: nearest neighbours and their distance in Å.
Space group P4/mmm (No. 123)
One atom of each set of equivalent atoms:
Cd 0.0000 0.0000 0.0000  2 Cd 2.54
B 0.5000 0.5000 0.0000  2 O 1.27
S 0.0000 0.5000 0.5000  2 S 2.54
O 0.5000 0.5000 0.5000  2 B 1.27

No. 2
The following is a PBE calculation of crystalline Sc3CdB4O12 at its relaxed geometry, from Alexandria via LeMat-Bulk.

V	673	Å³ per cell
theoretical density	3.6	g cm⁻³

a = 9.8563 Å, b = 9.8563 Å, c = 7.9950 Å
α = 90.00°, β = 90.00°, γ = 120.00°
Last column: nearest neighbours and their distance in Å.
Space group R32 (No. 155, hexagonal axes)
One atom of each set of equivalent atoms:
Sc 0.0000 0.5469 0.0000  6 O 2.09-2.13
Cd 0.0000 0.0000 0.0000  6 O 2.45
B 0.0000 0.0000 0.5000  3 O 1.38
B 0.0000 0.4536 0.5000  3 O 1.38
O 0.0000 0.5934 0.5000  1 B 1.38
O 0.0000 0.8600 0.5000  1 B 1.38
O 0.0179 0.2101 0.1798  1 B 1.38

No. 3
The following is a PBE calculation of crystalline CdB2SeO6 at its relaxed geometry, from Alexandria via LeMat-Bulk.

V	494	Å³ per cell
theoretical density	4.2	g cm⁻³

a = 12.9096 Å, b = 7.8547 Å, c = 5.0155 Å
α = 90.00°, β = 103.92°, γ = 90.00°
Last column: nearest neighbours and their distance in Å.
Space group C2/c (No. 15)
One atom of each set of equivalent atoms:
Cd 0.0000 0.0995 0.2500  2 O 2.15
B 0.1874 0.4491 0.1781  3 O 1.38-1.42
Se 0.0000 0.3260 0.7500  2 O 1.74
O 0.0833 0.1755 0.6569  1 Se 1.74
O 0.1001 0.3413 0.1323  1 B 1.38
O 0.2289 0.5005 0.4537  2 B 1.41-1.42

No. 4
The following is a PBE calculation of crystalline CdBSe2O at its relaxed geometry, from Alexandria via LeMat-Bulk.

V	100	Å³ per cell
theoretical density	4.9	g cm⁻³

a = 6.1575 Å, b = 6.1575 Å, c = 2.6347 Å
α = 90.00°, β = 90.00°, γ = 90.00°
Last column: nearest neighbours and their distance in Å.
Space group P4/mmm (No. 123)
One atom of each set of equivalent atoms:
Cd 0.0000 0.0000 0.0000  2 Cd 2.63
B 0.5000 0.5000 0.0000  2 O 1.32
Se 0.0000 0.5000 0.5000  2 Se 2.63
O 0.5000 0.5000 0.5000  2 B 1.32

No. 5
The following is a PBE calculation of crystalline CdSiB2O6 at its relaxed geometry, from Alexandria via LeMat-Bulk.

V	407	Å³ per cell
theoretical density	4.2	g cm⁻³

a = 9.0503 Å, b = 9.9985 Å, c = 4.8658 Å
α = 90.00°, β = 112.49°, γ = 90.00°
Last column: nearest neighbours and their distance in Å.
Space group C2/c (No. 15)
One atom of each set of equivalent atoms:
Cd 0.0000 0.1263 0.2500  4 O 2.17-2.41
Si 0.0000 0.2956 0.7500  4 O 1.62-1.66
B 0.2449 0.0766 0.8454  4 O 1.43-1.55
O 0.0923 0.3789 0.0541  1 B 1.43
O 0.1347 0.1969 0.6994  1 B 1.55, 1 Si 1.66
O 0.1965 0.0256 0.0932  2 B 1.52-1.53

No. 6
The following is a PBE calculation of crystalline CdSi2BO6 at its relaxed geometry, from Alexandria via LeMat-Bulk.

V	491	Å³ per cell
theoretical density	3.7	g cm⁻³

a = 9.5621 Å, b = 10.6478 Å, c = 5.3077 Å
α = 90.00°, β = 114.57°, γ = 90.00°
Last column: nearest neighbours and their distance in Å.
Space group C2/c (No. 15)
One atom of each set of equivalent atoms:
Cd 0.0000 0.1031 0.2500  2 O 2.43
Si 0.2070 0.4107 0.1193  4 O 1.63-1.64
B 0.0000 0.2413 0.7500  4 O 1.46-1.50
O 0.0625 0.3136 0.0075  1 B 1.46, 1 Si 1.63
O 0.1268 0.1621 0.7359  1 B 1.50, 1 Si 1.64
O 0.1984 0.4957 0.3691  2 Si 1.63-1.64

No. 7
The following is a PBE calculation of crystalline SrCd2B2O6 at its relaxed geometry, from Alexandria via LeMat-Bulk.

V	161	Å³ per cell
theoretical density	4.4	g cm⁻³

a = 5.4459 Å, b = 5.4459 Å, c = 6.2518 Å
α = 90.00°, β = 90.00°, γ = 120.00°
Last column: nearest neighbours and their distance in Å.
Space group P-3 (No. 147)
One atom of each set of equivalent atoms:
Sr 0.0000 0.0000 0.0000  6 O 2.52
Cd 0.3333 0.6667 0.3184  3 O 2.17
B 0.3333 0.6667 0.7573  3 O 1.39
O 0.0869 0.6830 0.7547  1 B 1.39

No. 8
The following is a PBE calculation of crystalline Sr3CdB2O6 at its relaxed geometry, from Alexandria via LeMat-Bulk.

V	222	Å³ per cell
theoretical density	3.7	g cm⁻³

a = 5.4001 Å, b = 5.4001 Å, c = 8.7762 Å
α = 90.00°, β = 90.00°, γ = 120.00°
Last column: nearest neighbours and their distance in Å.
Space group P-3m1 (No. 164)
One atom of each set of equivalent atoms:
Sr 0.0000 0.0000 0.0000  6 O 2.44
Sr 0.3333 0.6667 0.7603  6 O 2.73
Cd 0.0000 0.0000 0.5000  6 O 3.19
B 0.3333 0.6667 0.1961  3 O 1.38
O 0.1855 0.3711 0.1956  1 B 1.38

No. 9
The following is a PBE calculation of crystalline SrCd2BO4 at its relaxed geometry, from Alexandria via LeMat-Bulk.

V	460	Å³ per cell
theoretical density	5.6	g cm⁻³

a = 7.1066 Å, b = 7.1175 Å, c = 9.0959 Å
α = 90.00°, β = 90.00°, γ = 90.00°
Last column: nearest neighbours and their distance in Å.
Space group Fmm2 (No. 42)
One atom of each set of equivalent atoms:
Sr 0.0000 0.0000 0.0000  4 O 2.46
Cd 0.2500 0.2500 0.2498  4 O 2.33
B 0.0000 0.0000 0.4995  4 O 1.52
O 0.0000 0.1758 0.5941  1 B 1.52
O 0.1760 0.0000 0.4048  1 B 1.52

No. 10
The following is a PBE calculation of crystalline Sr2CdBO at its relaxed geometry, from Alexandria via LeMat-Bulk.

V	154	Å³ per cell
theoretical density	3.4	g cm⁻³

a = 6.1259 Å, b = 6.1259 Å, c = 4.1102 Å
α = 90.00°, β = 90.00°, γ = 90.00°
Last column: nearest neighbours and their distance in Å.
Space group P4/mmm (No. 123)
One atom of each set of equivalent atoms:
Sr 0.0000 0.5000 0.0000  2 Cd 3.06
Cd 0.0000 0.0000 0.0000  2 O 2.06
B 0.5000 0.5000 0.5000  8 Sr 3.69, 2 B 4.11
O 0.0000 0.0000 0.5000  2 Cd 2.06

No. 11
The following is a PBE calculation of crystalline TaCdBO5 at its relaxed geometry, from Alexandria via LeMat-Bulk.

V	366	Å³ per cell
theoretical density	7.0	g cm⁻³

a = 6.5810 Å, b = 8.3901 Å, c = 7.3648 Å
α = 90.00°, β = 115.82°, γ = 90.00°
Last column: nearest neighbours and their distance in Å.
Space group C2/c (No. 15)
One atom of each set of equivalent atoms:
Ta 0.0000 0.0000 0.0000  6 O 1.97-2.01
Cd 0.0000 0.3422 0.2500  3 O 2.17-2.28
B 0.0000 0.3167 0.7500  4 O 1.50-1.51
O 0.0000 0.0838 0.2500  2 Ta 1.97, 1 Cd 2.17
O 0.0902 0.2141 0.6349  1 B 1.50
O 0.1792 0.4268 0.8933  1 B 1.51

No. 12
The following is a PBE calculation of crystalline TaCdB2O8 at its relaxed geometry, from Alexandria via LeMat-Bulk.

V	143	Å³ per cell
theoretical density	5.1	g cm⁻³

a = 5.0954 Å, b = 5.0954 Å, c = 6.3526 Å
α = 90.00°, β = 90.00°, γ = 120.00°
Last column: nearest neighbours and their distance in Å.
Space group P-3m1 (No. 164)
One atom of each set of equivalent atoms:
Ta 0.0000 0.0000 0.0000  6 O 1.97
Cd 0.0000 0.0000 0.5000  6 O 2.51
B 0.3333 0.6667 0.7401  4 O 1.45-1.47
O 0.1764 0.3528 0.8092  1 B 1.45
O 0.3333 0.6667 0.5094  1 B 1.47

Number 1: uncorrected formation energy 0.04 eV per atom. Number 2: uncorrected formation energy -2.64 eV per atom. Number 3: uncorrected formation energy -1.48 eV per atom. Number 4: uncorrected formation energy -0.08 eV per atom. Number 5: uncorrected formation energy -2.16 eV per atom. Number 6: uncorrected formation energy -2.23 eV per atom. Number 7: uncorrected formation energy -2.03 eV per atom. Number 8: uncorrected formation energy -2.37 eV per atom. Number 9: uncorrected formation energy -1.65 eV per atom. Number 10: uncorrected formation energy 0.59 eV per atom. Number 11: uncorrected formation energy -2.23 eV per atom. Number 12: uncorrected formation energy -1.70 eV per atom.